Arrangement w

Compound: Pr3Nd2Hg
Source: the Alexandria database
Functional: GGA-PBE
Structure: relaxed Values from VASP.

Quantum ESPRESSO input file:
```
&SYSTEM
  ibrav = 0, nat = 6, ntyp = 3
/
ATOMIC_SPECIES
Pr 140.91 Pr.upf
Hg 200.59 Hg.upf
Nd 144.24 Nd.upf
CELL_PARAMETERS angstrom
-2.951 -2.425 0.379
3.625 -4.148 1.682
-2.849 4.691 7.846
ATOMIC_POSITIONS crystal
Pr 0.000 0.316 0.632
Hg 0.000 0.000 0.000
Pr 0.500 0.500 0.000
Nd 0.500 0.858 0.716
Pr 0.000 0.684 0.368
Nd 0.500 0.142 0.284
```

=====

Arrangement x

Compound: Pr3Nd2Hg
Source: the Alexandria database
Functional: GGA-PBE
Structure: relaxed Values from VASP.

Quantum ESPRESSO input file:
```
&SYSTEM
  ibrav = 0, nat = 12, ntyp = 3
/
ATOMIC_SPECIES
Pr 140.91 Pr.upf
Nd 144.24 Nd.upf
Hg 200.59 Hg.upf
CELL_PARAMETERS angstrom
6.302 0.000 -0.046
3.151 5.476 -0.023
2.221 0.000 11.533
ATOMIC_POSITIONS crystal
Pr 0.577 0.345 0.240
Pr 0.423 0.655 0.760
Pr 0.079 0.345 0.760
Nd 0.163 0.673 0.500
Nd 0.000 0.000 0.000
Pr 0.921 0.655 0.240
Pr 0.265 0.000 0.239
Hg 0.667 0.665 0.000
Hg 0.333 0.335 0.000
Nd 0.500 0.000 0.500
Nd 0.837 0.327 0.500
Pr 0.735 0.000 0.761
```

=====

Relative energy of each structure, in kJ/mol of atoms: arrangement w 0.0; arrangement x 6.7.

=====

Arrangement w

Compound: Pr8Nd2Hg
Source: the Alexandria database
Functional: GGA-PBE
Structure: relaxed Values from VASP.

Quantum ESPRESSO input file:
```
&SYSTEM
  ibrav = 0, nat = 11, ntyp = 3
/
ATOMIC_SPECIES
Hg 200.59 Hg.upf
Nd 144.24 Nd.upf
Pr 140.91 Pr.upf
CELL_PARAMETERS angstrom
5.738 0.000 0.000
0.000 7.969 0.087
-2.869 -3.292 8.386
ATOMIC_POSITIONS crystal
Hg 0.500 0.000 0.000
Nd 0.814 0.340 0.628
Pr 0.986 0.230 0.972
Pr 0.335 0.069 0.670
Pr 0.397 0.570 0.794
Pr 0.665 0.931 0.330
Pr 0.014 0.770 0.028
Pr 0.603 0.430 0.206
Pr 0.818 0.768 0.635
Nd 0.186 0.660 0.372
Pr 0.182 0.232 0.365
```

=====

Arrangement x

Compound: Pr8Nd2Hg
Source: the Alexandria database
Functional: GGA-PBE
Structure: relaxed Values from VASP.

Quantum ESPRESSO input file:
```
&SYSTEM
  ibrav = 0, nat = 11, ntyp = 3
/
ATOMIC_SPECIES
Pr 140.91 Pr.upf
Nd 144.24 Nd.upf
Hg 200.59 Hg.upf
CELL_PARAMETERS angstrom
5.272 0.000 0.000
-2.636 5.869 -0.005
0.000 2.750 12.254
ATOMIC_POSITIONS crystal
Pr 0.969 0.937 0.831
Pr 0.414 0.829 0.640
Nd 0.312 0.623 0.256
Pr 0.586 0.171 0.360
Pr 0.742 0.483 0.086
Pr 0.031 0.063 0.169
Hg 0.500 0.000 0.000
Nd 0.688 0.377 0.744
Pr 0.141 0.281 0.549
Pr 0.258 0.517 0.914
Pr 0.859 0.719 0.451
```

=====

Relative energy of each structure, in kJ/mol of atoms: arrangement w 5.0; arrangement x 0.0.

=====

Arrangement w

Compound: Pr3NdHg2
Source: the Alexandria database
Functional: GGA-PBE
Structure: relaxed Values from VASP.

Quantum ESPRESSO input file:
```
&SYSTEM
  ibrav = 0, nat = 12, ntyp = 3
/
ATOMIC_SPECIES
Hg 200.59 Hg.upf
Pr 140.91 Pr.upf
Nd 144.24 Nd.upf
CELL_PARAMETERS angstrom
-4.942 0.280 -1.974
2.169 -3.507 -5.928
-2.174 -8.508 4.238
ATOMIC_POSITIONS crystal
Hg 0.000 0.270 0.648
Pr 0.000 0.986 0.056
Pr 0.500 0.673 0.174
Nd 0.500 0.014 0.444
Pr 0.000 0.827 0.673
Pr 0.000 0.327 0.327
Hg 0.000 0.770 0.352
Nd 0.500 0.514 0.556
Hg 0.500 0.231 0.149
Hg 0.500 0.731 0.851
Pr 0.500 0.173 0.826
Pr 0.000 0.486 0.944
```

=====

Arrangement x

Compound: Pr3NdHg2
Source: the Alexandria database
Functional: GGA-PBE
Structure: relaxed Values from VASP.

Quantum ESPRESSO input file:
```
&SYSTEM
  ibrav = 0, nat = 12, ntyp = 3
/
ATOMIC_SPECIES
Pr 140.91 Pr.upf
Nd 144.24 Nd.upf
Hg 200.59 Hg.upf
CELL_PARAMETERS angstrom
-2.689 -2.241 -6.652
5.503 -5.276 -0.447
-5.872 -1.193 7.022
ATOMIC_POSITIONS crystal
Pr 0.228 0.478 0.456
Pr 0.228 0.978 0.456
Pr 0.500 0.750 0.000
Nd 0.000 0.500 0.000
Hg 0.563 0.361 0.723
Hg 0.840 0.139 0.277
Hg 0.437 0.639 0.277
Pr 0.500 0.250 0.000
Pr 0.772 0.022 0.544
Hg 0.160 0.861 0.723
Pr 0.772 0.522 0.544
Nd 0.000 0.000 0.000
```

=====

Relative energy of each structure, in kJ/mol of atoms: arrangement w 0.0; arrangement x 23.5.

=====

Arrangement w

Compound: PrNdHgRu
Source: the Alexandria database
Functional: GGA-PBE
Structure: relaxed Values from VASP.

Quantum ESPRESSO input file:
```
&SYSTEM
  ibrav = 0, nat = 4, ntyp = 4
/
ATOMIC_SPECIES
Ru 101.07 Ru.upf
Hg 200.59 Hg.upf
Pr 140.91 Pr.upf
Nd 144.24 Nd.upf
CELL_PARAMETERS angstrom
-0.827 -2.674 2.258
2.408 -2.118 -1.627
5.535 2.480 4.964
ATOMIC_POSITIONS crystal
Ru 0.000 0.000 0.568
Hg 0.000 0.000 0.074
Pr 0.500 0.500 0.791
Nd 0.500 0.500 0.351
```

=====

Arrangement x

Compound: PrNdHgRu
Source: the Alexandria database
Functional: GGA-PBE
Structure: relaxed Values from VASP.

Quantum ESPRESSO input file:
```
&SYSTEM
  ibrav = 0, nat = 4, ntyp = 4
/
ATOMIC_SPECIES
Hg 200.59 Hg.upf
Nd 144.24 Nd.upf
Pr 140.91 Pr.upf
Ru 101.07 Ru.upf
CELL_PARAMETERS angstrom
5.214 0.000 0.000
2.607 4.515 0.000
2.607 1.505 4.257
ATOMIC_POSITIONS crystal
Hg 0.250 0.250 0.250
Nd 0.000 0.000 0.000
Pr 0.500 0.500 0.500
Ru 0.750 0.750 0.750
```

=====

Relative energy of each structure, in kJ/mol of atoms: arrangement w 0.0; arrangement x 7.7.

=====

Arrangement w

Compound: PrNdSnHg
Source: the Alexandria database
Functional: GGA-PBE
Structure: relaxed Values from VASP.

Quantum ESPRESSO input file:
```
&SYSTEM
  ibrav = 0, nat = 4, ntyp = 4
/
ATOMIC_SPECIES
Nd 144.24 Nd.upf
Pr 140.91 Pr.upf
Sn 118.71 Sn.upf
Hg 200.59 Hg.upf
CELL_PARAMETERS angstrom
3.887 0.000 0.000
0.000 3.887 0.000
0.000 0.000 7.678
ATOMIC_POSITIONS crystal
Nd 0.500 0.500 0.603
Pr 0.500 0.500 0.111
Sn 0.000 0.000 0.854
Hg 0.000 0.000 0.360
```

=====

Arrangement x

Compound: PrNdSnHg
Source: the Alexandria database
Functional: GGA-PBE
Structure: relaxed Values from VASP.

Quantum ESPRESSO input file:
```
&SYSTEM
  ibrav = 0, nat = 4, ntyp = 4
/
ATOMIC_SPECIES
Nd 144.24 Nd.upf
Hg 200.59 Hg.upf
Pr 140.91 Pr.upf
Sn 118.71 Sn.upf
CELL_PARAMETERS angstrom
-1.274 -2.783 -4.534
-4.151 -3.563 0.053
-4.618 1.140 -2.703
ATOMIC_POSITIONS crystal
Nd 0.250 0.250 0.250
Hg 0.500 0.500 0.500
Pr 0.750 0.750 0.750
Sn 0.000 0.000 0.000
```

=====

Relative energy of each structure, in kJ/mol of atoms: arrangement w 2.6; arrangement x 0.0.

=====

Arrangement w

Compound: PrNdHgTe
Source: the Alexandria database
Functional: GGA-PBE
Structure: relaxed Values from VASP.

Quantum ESPRESSO input file:
```
&SYSTEM
  ibrav = 0, nat = 4, ntyp = 4
/
ATOMIC_SPECIES
Te 127.60 Te.upf
Pr 140.91 Pr.upf
Hg 200.59 Hg.upf
Nd 144.24 Nd.upf
CELL_PARAMETERS angstrom
5.474 0.000 0.000
2.737 4.741 0.000
2.737 1.580 4.470
ATOMIC_POSITIONS crystal
Te 0.750 0.750 0.750
Pr 0.500 0.500 0.500
Hg 0.250 0.250 0.250
Nd 0.000 0.000 0.000
```

=====

Arrangement x

Compound: PrNdHgTe
Source: the Alexandria database
Functional: GGA-PBE
Structure: relaxed Values from VASP.

Quantum ESPRESSO input file:
```
&SYSTEM
  ibrav = 0, nat = 4, ntyp = 4
/
ATOMIC_SPECIES
Hg 200.59 Hg.upf
Te 127.60 Te.upf
Pr 140.91 Pr.upf
Nd 144.24 Nd.upf
CELL_PARAMETERS angstrom
-1.205 -4.041 1.078
2.942 -3.208 0.052
2.132 -0.870 7.915
ATOMIC_POSITIONS crystal
Hg 0.999 0.999 0.002
Te 0.501 0.501 0.498
Pr 0.751 0.751 0.746
Nd 0.249 0.249 0.254
```

=====

Relative energy of each structure, in kJ/mol of atoms: arrangement w 17.0; arrangement x 0.0.

=====

Arrangement w

Compound: Nd5Hg2Pt
Source: the Alexandria database
Functional: GGA-PBE
Structure: relaxed Values from VASP.

Quantum ESPRESSO input file:
```
&SYSTEM
  ibrav = 0, nat = 16, ntyp = 3
/
ATOMIC_SPECIES
Nd 144.24 Nd.upf
Hg 200.59 Hg.upf
Pt 195.08 Pt.upf
CELL_PARAMETERS angstrom
5.033 0.000 0.000
0.000 7.345 0.000
0.000 0.000 12.728
ATOMIC_POSITIONS crystal
Nd 0.000 0.000 0.500
Nd 0.000 0.637 0.711
Nd 0.500 0.179 0.082
Hg 0.500 0.409 0.837
Nd 0.000 0.363 0.289
Nd 0.500 0.679 0.418
Nd 0.500 0.821 0.918
Nd 0.500 0.321 0.582
Nd 0.000 0.863 0.211
Nd 0.000 0.137 0.789
Pt 0.000 0.500 0.500
Nd 0.000 0.500 0.000
Hg 0.500 0.909 0.663
Hg 0.500 0.091 0.337
Pt 0.000 0.000 0.000
Hg 0.500 0.591 0.163
```

=====

Arrangement x

Compound: Nd5Hg2Pt
Source: the Alexandria database
Functional: GGA-PBE
Structure: relaxed Values from VASP.

Quantum ESPRESSO input file:
```
&SYSTEM
  ibrav = 0, nat = 16, ntyp = 3
/
ATOMIC_SPECIES
Nd 144.24 Nd.upf
Hg 200.59 Hg.upf
Pt 195.08 Pt.upf
CELL_PARAMETERS angstrom
-5.865 0.627 0.406
2.587 -5.853 3.363
1.473 6.821 10.738
ATOMIC_POSITIONS crystal
Nd 0.933 0.865 0.894
Hg 0.182 0.364 0.877
Pt 0.769 0.539 0.750
Nd 0.067 0.135 0.394
Nd 0.619 0.238 0.250
Hg 0.818 0.636 0.377
Hg 0.818 0.636 0.123
Nd 0.622 0.244 0.573
Nd 0.378 0.756 0.073
Pt 0.231 0.461 0.250
Nd 0.381 0.762 0.750
Nd 0.933 0.865 0.606
Nd 0.067 0.135 0.106
Nd 0.622 0.244 0.927
Hg 0.182 0.364 0.623
Nd 0.378 0.756 0.427
```

=====

Relative energy of each structure, in kJ/mol of atoms: arrangement w 0.0; arrangement x 22.0.

=====

Arrangement w

Compound: Nd2Hg3Pt2
Source: the Alexandria database
Functional: GGA-PBE
Structure: relaxed Values from VASP.

Quantum ESPRESSO input file:
```
&SYSTEM
  ibrav = 0, nat = 7, ntyp = 3
/
ATOMIC_SPECIES
Hg 200.59 Hg.upf
Nd 144.24 Nd.upf
Pt 195.08 Pt.upf
CELL_PARAMETERS angstrom
4.121 0.000 0.000
-2.060 5.339 0.197
0.000 -0.977 7.612
ATOMIC_POSITIONS crystal
Hg 0.000 0.000 0.000
Hg 0.305 0.610 0.137
Hg 0.695 0.390 0.863
Nd 0.379 0.759 0.654
Pt 0.098 0.195 0.629
Pt 0.902 0.805 0.371
Nd 0.621 0.241 0.346
```

=====

Arrangement x

Compound: Nd2Hg3Pt2
Source: the Alexandria database
Functional: GGA-PBE
Structure: relaxed Values from VASP.

Quantum ESPRESSO input file:
```
&SYSTEM
  ibrav = 0, nat = 7, ntyp = 3
/
ATOMIC_SPECIES
Hg 200.59 Hg.upf
Nd 144.24 Nd.upf
Pt 195.08 Pt.upf
CELL_PARAMETERS angstrom
-2.338 0.769 -2.916
2.872 -1.748 -2.763
-5.961 -8.420 2.559
ATOMIC_POSITIONS crystal
Hg 0.500 0.572 0.143
Nd 0.000 0.831 0.663
Pt 0.500 0.293 0.585
Nd 0.000 0.169 0.337
Pt 0.500 0.707 0.415
Hg 0.500 0.428 0.857
Hg 0.000 0.000 0.000
```

=====

Relative energy of each structure, in kJ/mol of atoms: arrangement w 3.9; arrangement x 0.0.